VASP calculation (GGA+U) on a relaxed structure of Co2MoF.

Output
E: -4.248 eV per atom
Crystal system: tetragonal

Cell: 7.373 7.373 4.509 Å, 90.00 90.00 90.00°
Space group I-42d (No. 122)
Unique sites:
Co  0.203  0.250  0.125 (multiplicity 8)
Mo  0.000  0.000  0.500 (multiplicity 4)
F  0.000  0.000  0.000 (multiplicity 4)

VASP calculation (GGA+U) on a relaxed structure of Co2MoF.

Output
E: -4.017 eV per atom
Crystal system: cubic

Cell: 6.274 6.274 6.274 Å, 90.00 90.00 90.00°
Space group Fm-3m (No. 225)
Unique sites:
Co  0.250  0.250  0.250 (multiplicity 8)
Mo  0.000  0.000  0.000 (multiplicity 4)
F  0.000  0.000  0.500 (multiplicity 4)

VASP calculation (GGA+U) on a relaxed structure of CoMoF2.

Output
E: -3.581 eV per atom
Crystal system: cubic

Cell: 5.865 5.865 5.865 Å, 90.00 90.00 90.00°
Space group Fm-3m (No. 225)
Unique sites:
Co  0.000  0.000  0.000 (multiplicity 4)
Mo  0.000  0.000  0.500 (multiplicity 4)
F  0.250  0.250  0.250 (multiplicity 8)

VASP calculation (GGA+U) on a relaxed structure of Co3MoF.

Output
E: -3.186 eV per atom
Crystal system: cubic

Cell: 4.761 4.761 4.761 Å, 90.00 90.00 90.00°
Space group Pm-3m (No. 221)
Unique sites:
Co  0.000  0.000  0.500 (multiplicity 3)
Mo  0.000  0.000  0.000 (multiplicity 1)
F  0.500  0.500  0.500 (multiplicity 1)

VASP calculation (GGA+U) on a relaxed structure of CoMo2F.

Output
E: -4.233 eV per atom
Crystal system: cubic

Cell: 5.900 5.900 5.900 Å, 90.00 90.00 90.00°
Space group Fm-3m (No. 225)
Unique sites:
Co  0.000  0.000  0.000 (multiplicity 4)
Mo  0.250  0.250  0.250 (multiplicity 8)
F  0.000  0.000  0.500 (multiplicity 4)

VASP calculation (GGA+U) on a relaxed structure of CoMoF2.

Output
E: -4.578 eV per atom
Crystal system: trigonal

Cell: 2.7764 2.7764 21.8689 Å, 90.00 90.00 120.00°
Space group R-3m (No. 166, hexagonal axes)
Unique sites:
Co  0.0000  0.0000  0.0000 (multiplicity 3)
Mo  0.0000  0.0000  0.5000 (multiplicity 3)
F  0.0000  0.0000  0.4013 (multiplicity 6)

VASP calculation (GGA+U) on a relaxed structure of CoMoNF2.

Output
E: -5.159 eV per atom
Crystal system: tetragonal

Cell: 4.212 4.212 3.986 Å, 90.00 90.00 90.00°
Space group P4/mmm (No. 123)
Unique sites:
Co  0.000  0.000  0.000 (multiplicity 1)
Mo  0.500  0.500  0.500 (multiplicity 1)
N  0.500  0.500  0.000 (multiplicity 1)
F  0.000  0.500  0.500 (multiplicity 2)

VASP calculation (GGA+U) on a relaxed structure of CoMoN2F.

Output
E: -5.812 eV per atom
Crystal system: tetragonal

Cell: 3.998 3.998 4.071 Å, 90.00 90.00 90.00°
Space group P4/mmm (No. 123)
Unique sites:
Co  0.000  0.000  0.000 (multiplicity 1)
Mo  0.500  0.500  0.500 (multiplicity 1)
N  0.000  0.500  0.500 (multiplicity 2)
F  0.500  0.500  0.000 (multiplicity 1)

no.,excess energy over the best structure of this formula in the dataset (meV per atom)
1,0
2,231
3,997
4,998
5,27
6,0
7,51
8,0